Record 1
Computed, not measured: a relaxed structure of LiHo2Nb at the PBE level of DFT.

Results
The relative energy among the computed polymorphs comes out at 0.000 eV/atom. The calculation puts the formation energy from the elements at 0.202 eV/atom.

a b c (Å): 3.368 3.368 8.770
angles (deg): 90.00 90.00 90.00
Space group P4/mmm (No. 123)
Unique sites:
Li 0.000 0.000 0.000 (multiplicity 1)
Ho 0.500 0.500 0.270 (multiplicity 2)
Nb 0.000 0.000 0.500 (multiplicity 1)

***

Record 2
Computed, not measured: a relaxed structure of LiHo2Nb at the PBE level of DFT.

Results
The relative energy among the computed polymorphs comes out at 0.347 eV/atom. The calculation puts the formation energy from the elements at 0.550 eV/atom.

a b c (Å): 3.1625 3.1625 34.4555
angles (deg): 90.00 90.00 120.00
Space group R-3m (No. 166, hexagonal axes)
Unique sites:
Li 0.0000 0.0000 0.0000 (multiplicity 3)
Ho 0.0000 0.0000 0.4157 (multiplicity 6)
Nb 0.0000 0.0000 0.5000 (multiplicity 3)

***

Record 3
Computed, not measured: a relaxed structure of LiHoNbOs at the PBE level of DFT.

Results
The calculation puts the formation energy from the elements at -0.065 eV/atom.

a b c (Å): 6.596 6.596 6.596
angles (deg): 90.00 90.00 90.00
Space group F-43m (No. 216)
Unique sites:
Li 0.000 0.000 0.000 (multiplicity 4)
Ho 0.250 0.250 0.250 (multiplicity 4)
Nb 0.250 0.250 0.750 (multiplicity 4)
Os 0.000 0.000 0.500 (multiplicity 4)

***

Record 4
Computed, not measured: a relaxed structure of LiNd2Ho at the PBE level of DFT.

Results
The relative energy among the computed polymorphs comes out at 0.000 eV/atom. The calculation puts the formation energy from the elements at 0.064 eV/atom.

a b c (Å): 3.649 3.649 9.193
angles (deg): 90.00 90.00 90.00
Space group P4/mmm (No. 123)
Unique sites:
Li 0.000 0.000 0.000 (multiplicity 1)
Nd 0.500 0.500 0.231 (multiplicity 2)
Ho 0.000 0.000 0.500 (multiplicity 1)

***

Record 5
Computed, not measured: a relaxed structure of LiNd6Ho at the PBE level of DFT.

Results
The calculation puts the formation energy from the elements at 0.086 eV/atom.

a b c (Å): 5.184 5.184 19.743
angles (deg): 90.00 90.00 90.00
Space group I4/mmm (No. 139)
Unique sites:
Li 0.000 0.000 0.000 (multiplicity 2)
Nd 0.000 0.000 0.252 (multiplicity 4)
Nd 0.000 0.500 0.120 (multiplicity 8)
Ho 0.000 0.000 0.500 (multiplicity 2)

***

Record 6
Computed, not measured: a relaxed structure of LiNdHo2 at the PBE level of DFT.

Results
The relative energy among the computed polymorphs comes out at 0.031 eV/atom. The calculation puts the formation energy from the elements at 0.110 eV/atom.

a b c (Å): 3.5171 3.5171 33.7273
angles (deg): 90.00 90.00 120.00
Space group R-3m (No. 166, hexagonal axes)
Unique sites:
Li 0.0000 0.0000 0.0000 (multiplicity 3)
Nd 0.0000 0.0000 0.5000 (multiplicity 3)
Ho 0.0000 0.0000 0.2535 (multiplicity 6)

***

Record 7
Computed, not measured: a relaxed structure of LiNd2Ho at the PBE level of DFT.

Results
The relative energy among the computed polymorphs comes out at 0.092 eV/atom. The calculation puts the formation energy from the elements at 0.157 eV/atom.

a b c (Å): 7.902 7.902 7.902
angles (deg): 90.00 90.00 90.00
Space group Fm-3m (No. 225)
Unique sites:
Li 0.000 0.000 0.000 (multiplicity 4)
Nd 0.250 0.250 0.250 (multiplicity 8)
Ho 0.000 0.000 0.500 (multiplicity 4)

***

Record 8
Computed, not measured: a relaxed structure of LiNdHo2 at the PBE level of DFT.

Results
The relative energy among the computed polymorphs comes out at 0.104 eV/atom. The calculation puts the formation energy from the elements at 0.182 eV/atom.

a b c (Å): 5.672 5.672 3.699
angles (deg): 90.00 90.00 90.00
Space group P4/mmm (No. 123)
Unique sites:
Li 0.000 0.000 0.000 (multiplicity 1)
Nd 0.500 0.500 0.000 (multiplicity 1)
Ho 0.000 0.500 0.500 (multiplicity 2)

***

Record 9
Computed, not measured: a relaxed structure of LiNdHo2 at the PBE level of DFT.

Results
The relative energy among the computed polymorphs comes out at 0.046 eV/atom. The calculation puts the formation energy from the elements at 0.124 eV/atom.

a b c (Å): 3.5252 3.5252 33.7962
angles (deg): 90.00 90.00 120.00
Space group R3m (No. 160, hexagonal axes)
Unique sites:
Li 0.0000 0.0000 0.0000 (multiplicity 3)
Nd 0.0000 0.0000 0.8334 (multiplicity 3)
Ho 0.0000 0.0000 0.4130 (multiplicity 3)
Ho 0.0000 0.0000 0.5874 (multiplicity 3)

***

Record 10
Computed, not measured: a relaxed structure of LiNd2Ho at the PBE level of DFT.

Results
The relative energy among the computed polymorphs comes out at 0.094 eV/atom. The calculation puts the formation energy from the elements at 0.158 eV/atom.

a b c (Å): 3.5203 3.5203 37.1817
angles (deg): 90.00 90.00 120.00
Space group R-3m (No. 166, hexagonal axes)
Unique sites:
Li 0.0000 0.0000 0.0000 (multiplicity 3)
Nd 0.0000 0.0000 0.0891 (multiplicity 6)
Ho 0.0000 0.0000 0.5000 (multiplicity 3)

***

Record 11
Computed, not measured: a relaxed structure of LiNd2Ho at the PBE level of DFT.

Results
The relative energy among the computed polymorphs comes out at 0.051 eV/atom. The calculation puts the formation energy from the elements at 0.116 eV/atom.

a b c (Å): 3.5460 3.5460 11.8999
angles (deg): 90.00 90.00 120.00
Space group P3m1 (No. 156)
Unique sites:
Li 0.0000 0.0000 0.0000 (multiplicity 1)
Nd 0.0000 0.0000 0.7254 (multiplicity 1)
Nd 0.6667 0.3333 0.2397 (multiplicity 1)
Ho 0.3333 0.6667 0.4846 (multiplicity 1)

***

Record 12
Computed, not measured: a relaxed structure of Li2NdHo at the PBE level of DFT.

Results
The relative energy among the computed polymorphs comes out at 0.002 eV/atom. The calculation puts the formation energy from the elements at 0.154 eV/atom.

a b c (Å): 7.522 7.522 7.522
angles (deg): 90.00 90.00 90.00
Space group Fm-3m (No. 225)
Unique sites:
Li 0.250 0.250 0.250 (multiplicity 8)
Nd 0.000 0.000 0.000 (multiplicity 4)
Ho 0.000 0.000 0.500 (multiplicity 4)

***

Record 13
Computed, not measured: a relaxed structure of LiNdHo2 at the PBE level of DFT.

Results
The relative energy among the computed polymorphs comes out at 0.000 eV/atom. The calculation puts the formation energy from the elements at 0.079 eV/atom.

a b c (Å): 3.652 3.652 8.748
angles (deg): 90.00 90.00 90.00
Space group P4/mmm (No. 123)
Unique sites:
Li 0.000 0.000 0.000 (multiplicity 1)
Nd 0.000 0.000 0.500 (multiplicity 1)
Ho 0.500 0.500 0.215 (multiplicity 2)

***

Record 14
Computed, not measured: a relaxed structure of Li2NdHo at the PBE level of DFT.

Results
The relative energy among the computed polymorphs comes out at 0.000 eV/atom. The calculation puts the formation energy from the elements at 0.151 eV/atom.

a b c (Å): 3.746 3.746 7.562
angles (deg): 90.00 90.00 90.00
Space group P4/mmm (No. 123)
Unique sites:
Li 0.000 0.000 0.244 (multiplicity 2)
Nd 0.500 0.500 0.500 (multiplicity 1)
Ho 0.500 0.500 0.000 (multiplicity 1)

***

Record 15
Computed, not measured: a relaxed structure of LiNd2Ho at the PBE level of DFT.

Results
The relative energy among the computed polymorphs comes out at 0.006 eV/atom. The calculation puts the formation energy from the elements at 0.071 eV/atom.

a b c (Å): 3.5665 3.5665 34.3364
angles (deg): 90.00 90.00 120.00
Space group R3m (No. 160, hexagonal axes)
Unique sites:
Li 0.0000 0.0000 0.0000 (multiplicity 3)
Nd 0.0000 0.0000 0.2509 (multiplicity 3)
Nd 0.0000 0.0000 0.4155 (multiplicity 3)
Ho 0.0000 0.0000 0.8331 (multiplicity 3)

***

Record 16
Computed, not measured: a relaxed structure of Li2NdHo at the PBE level of DFT.

Results
The relative energy among the computed polymorphs comes out at 0.134 eV/atom. The calculation puts the formation energy from the elements at 0.286 eV/atom.

a b c (Å): 3.3475 3.3475 35.7680
angles (deg): 90.00 90.00 120.00
Space group R-3m (No. 166, hexagonal axes)
Unique sites:
Li 0.0000 0.0000 0.0872 (multiplicity 6)
Nd 0.0000 0.0000 0.5000 (multiplicity 3)
Ho 0.0000 0.0000 0.0000 (multiplicity 3)

***

Record 17
Computed, not measured: a relaxed structure of LiNdHoNi at the PBE level of DFT.

Results
The calculation puts the formation energy from the elements at -0.093 eV/atom.

a b c (Å): 7.064 7.064 7.064
angles (deg): 90.00 90.00 90.00
Space group F-43m (No. 216)
Unique sites:
Li 0.000 0.000 0.000 (multiplicity 4)
Nd 0.250 0.250 0.250 (multiplicity 4)
Ho 0.250 0.250 0.750 (multiplicity 4)
Ni 0.000 0.000 0.500 (multiplicity 4)

***

Record 18
Computed, not measured: a relaxed structure of LiNdHoOs at the PBE level of DFT.

Results
The calculation puts the formation energy from the elements at -0.156 eV/atom.

a b c (Å): 7.025 7.025 7.025
angles (deg): 90.00 90.00 90.00
Space group F-43m (No. 216)
Unique sites:
Li 0.000 0.000 0.000 (multiplicity 4)
Nd 0.250 0.250 0.250 (multiplicity 4)
Ho 0.250 0.250 0.750 (multiplicity 4)
Os 0.000 0.000 0.500 (multiplicity 4)

***

Record 19
Computed, not measured: a relaxed structure of Li2Nd2HoPb2 at the PBE level of DFT.

Results
The calculation puts the formation energy from the elements at -0.328 eV/atom.

a b c (Å): 4.8475 4.8475 27.7702
angles (deg): 90.00 90.00 120.00
Space group R-3m (No. 166, hexagonal axes)
Unique sites:
Li 0.0000 0.0000 0.1054 (multiplicity 6)
Nd 0.0000 0.0000 0.3724 (multiplicity 6)
Ho 0.0000 0.0000 0.5000 (multiplicity 3)
Pb 0.0000 0.0000 0.2319 (multiplicity 6)

***

Record 20
Computed, not measured: a relaxed structure of Li2NdHo2Pb2 at the PBE level of DFT.

Results
The calculation puts the formation energy from the elements at -0.326 eV/atom.

a b c (Å): 4.8718 4.8718 26.9449
angles (deg): 90.00 90.00 120.00
Space group R-3m (No. 166, hexagonal axes)
Unique sites:
Li 0.0000 0.0000 0.0876 (multiplicity 6)
Nd 0.0000 0.0000 0.5000 (multiplicity 3)
Ho 0.0000 0.0000 0.3695 (multiplicity 6)
Pb 0.0000 0.0000 0.2391 (multiplicity 6)